(1)
SrNdNiPt | PBE | optimized geometry

Cell lengths 5.0883, 5.0883, 5.0883 Å; angles 60.00, 60.00, 60.00 degrees
Last column: nearest neighbours and their distance in Å.
Fractional positions:
Sr (0.0000, 0.0000, 0.0000)  4 Pt 3.12, 4 Ni 3.12
Nd (0.5000, 0.5000, 0.5000)  4 Ni 3.12, 4 Pt 3.12
Pt (0.2500, 0.2500, 0.2500)  4 Nd 3.12, 4 Sr 3.12
Ni (0.7500, 0.7500, 0.7500)  4 Sr 3.12, 4 Nd 3.12

## Properties
Formation enthalpy at 0 K, meV per atom: -463
Symmetry: F-43m
Volume, Å³ per atom: 23.29
Final energy, eV per atom: -5.031
D(E_F), states/eV/cell: 1.5

***

(2)
KBCl3 | PBE | optimized geometry

Cell lengths 6.8905, 7.6711, 10.0310 Å; angles 90.00, 92.30, 90.00 degrees
Last column: nearest neighbours and their distance in Å.
Fractional positions:
K (0.9675, 0.5930, 0.2510)  8 Cl 3.26-3.41
K (0.5325, 0.0930, 0.2490)  8 Cl 3.26-3.41
K (0.0325, 0.4070, 0.7490)  8 Cl 3.26-3.41
K (0.4675, 0.9070, 0.7510)  8 Cl 3.26-3.41
B (0.4625, 0.5862, 0.0478)  1 B 1.72, 3 Cl 1.90-1.91
B (0.0375, 0.0862, 0.4522)  1 B 1.72, 3 Cl 1.90-1.91
B (0.5375, 0.4138, 0.9522)  1 B 1.72, 3 Cl 1.90-1.91
B (0.9625, 0.9138, 0.5478)  1 B 1.72, 3 Cl 1.90-1.91
Cl (0.1461, 0.7266, 0.5467)  1 B 1.91
Cl (0.3539, 0.2266, 0.9533)  1 B 1.91
Cl (0.8539, 0.2734, 0.4533)  1 B 1.91
Cl (0.6461, 0.7734, 0.0467)  1 B 1.91
Cl (0.9350, 0.9771, 0.7288)  1 B 1.90
Cl (0.5650, 0.4771, 0.7712)  1 B 1.90
Cl (0.0650, 0.0229, 0.2712)  1 B 1.90
Cl (0.4350, 0.5229, 0.2288)  1 B 1.90
Cl (0.7218, 0.8197, 0.4825)  1 B 1.90
Cl (0.7782, 0.3197, 0.0175)  1 B 1.90
Cl (0.2782, 0.1803, 0.5175)  1 B 1.90
Cl (0.2218, 0.6803, 0.9825)  1 B 1.90

## Properties
Uncorrected formation energy, kJ per mole of atoms: -126
Symmetry: P2_1/c
Volume, Å³ per atom: 26.49
Final energy, eV per atom: -3.967
D(E_F), states/eV/cell: 0.0

***

(3)
PuCd6Hg2 | PBE | optimized geometry

Cell lengths 3.0578, 9.0559, 9.0559 Å; angles 60.79, 80.82, 80.82 degrees
Last column: nearest neighbours and their distance in Å.
Fractional positions:
Pu (0.0000, 0.0000, 0.0000)  2 Pu 3.06, 4 Cd 3.36
Cd (0.3303, 0.0068, 0.3412)  6 Cd 3.05-3.20, 1 Hg 3.08
Cd (0.6697, 0.9932, 0.6588)  6 Cd 3.05-3.20, 1 Hg 3.08
Cd (0.6697, 0.6588, 0.9932)  6 Cd 3.05-3.20, 1 Hg 3.08
Cd (0.5000, 0.3268, 0.6732)  5 Cd 3.05-3.17, 4 Hg 3.20-3.22, 2 Pu 3.36
Cd (0.5000, 0.6732, 0.3268)  5 Cd 3.05-3.17, 4 Hg 3.20-3.22, 2 Pu 3.36
Cd (0.3303, 0.3412, 0.0068)  6 Cd 3.05-3.20, 1 Hg 3.08
Hg (0.1397, 0.3480, 0.3480)  2 Hg 3.06, 8 Cd 3.08-3.42
Hg (0.8603, 0.6520, 0.6520)  2 Hg 3.06, 8 Cd 3.08-3.42

## Properties
Formation enthalpy at 0 K, meV per atom: -39
Symmetry: C2/m
Volume, Å³ per atom: 23.90
Final energy, eV per atom: -2.309
D(E_F), states/eV/cell: 11.3

***

(4)
BeZn | PBE | optimized geometry

Cell lengths 3.8538, 3.8538, 7.3722 Å; angles 90.00, 90.00, 120.00 degrees
Last column: nearest neighbours and their distance in Å.
Fractional positions:
Be (0.0000, 0.0000, 0.2500)  3 Be 2.22
Be (0.0000, 0.0000, 0.7500)  3 Be 2.22
Be (0.3333, 0.6667, 0.7500)  3 Be 2.22, 2 Zn 2.47
Be (0.6667, 0.3333, 0.2500)  3 Be 2.22, 2 Zn 2.47
Zn (0.3333, 0.6667, 0.0848)  4 Zn 2.44-2.55, 7 Be 2.47-2.54
Zn (0.6667, 0.3333, 0.5848)  4 Zn 2.44-2.55, 7 Be 2.47-2.54
Zn (0.6667, 0.3333, 0.9152)  4 Zn 2.44-2.55, 7 Be 2.47-2.54
Zn (0.3333, 0.6667, 0.4152)  4 Zn 2.44-2.55, 7 Be 2.47-2.54

## Properties
Formation enthalpy at 0 K, meV per atom: 195
Symmetry: P6_3/mmc
Volume, Å³ per atom: 11.85
Final energy, eV per atom: -2.305
D(E_F), states/eV/cell: 1.5

***

(5)
RbHfPO2 | PBE | optimized geometry

Cell lengths 4.0686, 4.0686, 5.9314 Å; angles 90.00, 90.00, 90.00 degrees
Last column: nearest neighbours and their distance in Å.
Fractional positions:
P (0.0000, 0.0000, 0.5000)  4 Hf 2.88, 2 Rb 2.97
Hf (0.5000, 0.5000, 0.5000)  4 P 2.88
O (0.0000, 0.5000, 0.0000)  2 Rb 2.03
O (0.5000, 0.0000, 0.0000)  2 Rb 2.03
Rb (0.0000, 0.0000, 0.0000)  4 O 2.03

## Properties
Uncorrected formation energy, kJ per mole of atoms: 82
Symmetry: P4/mmm
Volume, Å³ per atom: 19.64
Final energy, eV per atom: -4.404
D(E_F), states/eV/cell: 2.0

***

(6)
ScNi2Br | PBE | optimized geometry

Cell lengths 3.4785, 3.3850, 6.0847 Å; angles 86.97, 90.00, 90.00 degrees
Last column: nearest neighbours and their distance in Å.
Fractional positions:
Br (0.5000, 0.7500, 0.7500)  4 Ni 2.55
Ni (0.0000, 0.7630, 0.0560)  1 Ni 2.36, 2 Br 2.55
Ni (0.0000, 0.7370, 0.4440)  1 Ni 2.36, 2 Br 2.55
Sc (0.5000, 0.2500, 0.2500)  8 Ni 2.69-2.71

## Properties
Uncorrected formation energy, kJ per mole of atoms: -23
Symmetry: P2/m
Volume, Å³ per atom: 17.89
Final energy, eV per atom: -5.131
D(E_F), states/eV/cell: 2.0

***

(7)
Li7NbS6 | PBE | optimized geometry

Cell lengths 7.0825, 7.2106, 12.4475 Å; angles 55.72, 90.00, 90.00 degrees
Last column: nearest neighbours and their distance in Å.
Fractional positions:
Li (0.5780, 0.6773, 0.4399)  4 S 2.43-2.71, 1 Li 2.67
Li (0.0637, 0.8571, 0.3035)  4 S 2.51-2.64, 1 Li 2.71
Li (0.1056, 0.4738, 0.6884)  4 S 2.47-2.57, 1 Li 2.61
Li (0.5553, 0.5010, 0.8154)  4 S 2.49-2.66, 1 Li 2.67
Li (0.0368, 0.4186, 0.9435)  4 S 2.42-2.65, 1 Li 2.71
Li (0.6277, 0.1294, 0.1566)  4 S 2.57-2.62
Li (0.2786, 0.8518, 0.5254)  4 S 2.48-2.59, 1 Li 2.61
Li (0.4220, 0.6773, 0.9399)  4 S 2.43-2.71, 1 Li 2.67
Li (0.9363, 0.8571, 0.8035)  4 S 2.51-2.64, 1 Li 2.71
Li (0.8944, 0.4738, 0.1884)  4 S 2.47-2.57, 1 Li 2.61
Li (0.4447, 0.5010, 0.3154)  4 S 2.49-2.66, 1 Li 2.67
Li (0.9632, 0.4186, 0.4435)  4 S 2.42-2.65, 1 Li 2.71
Li (0.3723, 0.1294, 0.6566)  4 S 2.57-2.62
Li (0.7214, 0.8518, 0.0254)  4 S 2.48-2.59, 1 Li 2.61
Nb (0.2365, 0.9941, 0.0014)  4 S 2.27-2.29
Nb (0.7635, 0.9941, 0.5014)  4 S 2.27-2.29
S (0.7572, 0.7239, 0.2563)  7 Li 2.47-2.62
S (0.2569, 0.5318, 0.4900)  7 Li 2.42-2.66
S (0.7637, 0.6122, 0.6276)  1 Nb 2.28, 2 Li 2.48-2.49
S (0.2638, 0.1477, 0.1177)  1 Nb 2.27, 2 Li 2.51-2.52
S (0.0335, 0.1316, 0.3796)  1 Nb 2.29, 2 Li 2.47-2.50
S (0.5147, 0.1076, 0.3606)  1 Nb 2.29, 1 Li 2.48
S (0.2428, 0.7239, 0.7563)  7 Li 2.47-2.62
S (0.7431, 0.5318, 0.9900)  7 Li 2.42-2.66
S (0.2363, 0.6122, 0.1276)  1 Nb 2.28, 2 Li 2.48-2.49
S (0.7362, 0.1477, 0.6177)  1 Nb 2.27, 2 Li 2.51-2.52
S (0.9665, 0.1316, 0.8796)  1 Nb 2.29, 2 Li 2.47-2.50
S (0.4853, 0.1076, 0.8606)  1 Nb 2.29, 1 Li 2.48

## Properties
Uncorrected formation energy, kJ per mole of atoms: -113
Symmetry: Pc
Volume, Å³ per atom: 18.76
Final energy, eV per atom: -4.620
D(E_F), states/eV/cell: 0.0

***

(8)
Cd2Sb3Pb2 | PBE | optimized geometry

Cell lengths 4.8213, 9.0419, 10.6547 Å; angles 82.40, 76.94, 74.49 degrees
Last column: nearest neighbours and their distance in Å.
Fractional positions:
Cd (0.0569, 0.1875, 0.7005)  4 Sb 2.94-3.03
Cd (0.9431, 0.8125, 0.2995)  4 Sb 2.94-3.03
Cd (0.4165, 0.5153, 0.6529)  4 Sb 2.92-3.02, 1 Cd 3.21
Cd (0.5835, 0.4847, 0.3471)  4 Sb 2.92-3.02, 1 Cd 3.21
Sb (0.0985, 0.9149, 0.8858)  1 Sb 2.89, 1 Cd 2.94
Sb (0.9015, 0.0851, 0.1142)  1 Sb 2.89, 1 Cd 2.94
Sb (0.1548, 0.5007, 0.1881)  3 Cd 2.92-3.03, 1 Pb 3.08
Sb (0.8452, 0.4993, 0.8119)  3 Cd 2.92-3.03, 1 Pb 3.08
Sb (0.3710, 0.7901, 0.4669)  4 Cd 2.96-3.02, 3 Pb 3.28-3.30
Sb (0.6290, 0.2099, 0.5331)  4 Cd 2.96-3.02, 3 Pb 3.28-3.30
Pb (0.2635, 0.1449, 0.3298)  6 Sb 3.28-3.36
Pb (0.7365, 0.8551, 0.6702)  6 Sb 3.28-3.36
Pb (0.3756, 0.2799, 0.9702)  5 Sb 3.08-3.42
Pb (0.6244, 0.7201, 0.0298)  5 Sb 3.08-3.42

## Properties
Uncorrected formation energy, kJ per mole of atoms: -2
Symmetry: P-1
Volume, Å³ per atom: 31.05
Final energy, eV per atom: -3.107
D(E_F), states/eV/cell: 1.0

***

(9)
PuGeAu | PBE | optimized geometry

Cell lengths 3.3903, 3.2542, 10.9451 Å; angles 90.00, 98.91, 90.00 degrees
Last column: nearest neighbours and their distance in Å.
Fractional positions:
Pu (0.7287, 0.7500, 0.4573)  4 Pu 2.52, 1 Ge 2.83
Pu (0.2713, 0.2500, 0.5427)  4 Pu 2.52, 1 Ge 2.83
Au (0.5526, 0.2500, 0.1053)  2 Ge 2.55, 2 Au 2.80
Au (0.4474, 0.7500, 0.8947)  2 Ge 2.55, 2 Au 2.80
Ge (0.8593, 0.7500, 0.7186)  2 Au 2.55, 1 Pu 2.83
Ge (0.1407, 0.2500, 0.2814)  2 Au 2.55, 1 Pu 2.83

## Properties
Formation enthalpy at 0 K, meV per atom: 146
Symmetry: Cmcm
Volume, Å³ per atom: 19.88
Final energy, eV per atom: -7.263
D(E_F), states/eV/cell: 7.7

***

(10)
TaInP2 | PBE | optimized geometry

Cell lengths 4.6774, 3.6315, 4.7746 Å; angles 68.21, 90.00, 90.00 degrees
Last column: nearest neighbours and their distance in Å.
Fractional positions:
In (0.5000, 0.7141, 0.7061)  3 P 2.50-2.65
P (0.0000, 0.0352, 0.0491)  3 Ta 2.55-2.62
P (0.5000, 0.4258, 0.2709)  3 In 2.50-2.65, 2 Ta 2.51
Ta (0.0000, 0.3249, 0.4739)  5 P 2.51-2.62

## Properties
Formation enthalpy at 0 K, meV per atom: -45
Symmetry: Pm
Volume, Å³ per atom: 18.83
Final energy, eV per atom: -6.398
D(E_F), states/eV/cell: 1.8

***

(11)
PmSmBr5 | PBE | optimized geometry

Cell lengths 4.0632, 8.6619, 13.7188 Å; angles 94.51, 90.00, 90.00 degrees
Last column: nearest neighbours and their distance in Å.
Fractional positions:
Pm (0.2500, 0.4166, 0.3423)  7 Br 2.91-3.15
Pm (0.7500, 0.5834, 0.6577)  7 Br 2.91-3.15
Sm (0.7500, 0.1022, 0.1511)  7 Br 2.95-3.08
Sm (0.2500, 0.8978, 0.8489)  7 Br 2.95-3.08
Br (0.2500, 0.0674, 0.3064)  2 Sm 2.98, 1 Pm 3.03
Br (0.7500, 0.1285, 0.9282)  3 Sm 2.99-3.08
Br (0.7500, 0.3214, 0.4845)  3 Pm 2.98-3.15
Br (0.2500, 0.3419, 0.1229)  2 Sm 2.95, 1 Pm 3.03
Br (0.2500, 0.3691, 0.7165)  2 Pm 2.91
Br (0.7500, 0.6309, 0.2835)  2 Pm 2.91
Br (0.7500, 0.6581, 0.8771)  2 Sm 2.95, 1 Pm 3.03
Br (0.2500, 0.6786, 0.5155)  3 Pm 2.98-3.15
Br (0.2500, 0.8715, 0.0718)  3 Sm 2.99-3.08
Br (0.7500, 0.9326, 0.6936)  2 Sm 2.98, 1 Pm 3.03

## Properties
Uncorrected formation energy, kJ per mole of atoms: -174
Symmetry: P2_1/m
Volume, Å³ per atom: 34.38
Final energy, eV per atom: -4.354
D(E_F), states/eV/cell: 1.3

***

(12)
Sc5InRu6 | PBE | optimized geometry

Cell lengths 4.5199, 6.4694, 7.8652 Å; angles 114.28, 106.70, 90.00 degrees
Last column: nearest neighbours and their distance in Å.
Fractional positions:
Sc (0.6611, 0.1611, 0.3221)  8 Ru 2.76-2.83
Sc (0.3307, 0.3307, 0.6614)  8 Ru 2.76-2.78
Sc (0.0000, 0.5000, 0.0000)  8 Ru 2.74-2.78
Sc (0.6693, 0.6693, 0.3386)  8 Ru 2.76-2.78
Sc (0.3389, 0.8389, 0.6779)  8 Ru 2.76-2.83
Ru (0.8324, 0.5792, 0.6649)  7 Sc 2.76-2.83, 1 In 2.81
Ru (0.8325, 0.0857, 0.6649)  7 Sc 2.76-2.83, 1 In 2.81
Ru (0.5000, 0.7408, 0.0000)  6 Sc 2.74-2.78, 2 In 2.81
Ru (0.5000, 0.2592, 0.0000)  6 Sc 2.74-2.78, 2 In 2.81
Ru (0.1675, 0.9143, 0.3351)  7 Sc 2.76-2.83, 1 In 2.81
Ru (0.1676, 0.4208, 0.3351)  7 Sc 2.76-2.83, 1 In 2.81
In (0.0000, 0.0000, 0.0000)  8 Ru 2.81

## Properties
Formation enthalpy at 0 K, meV per atom: -459
Symmetry: Immm
Volume, Å³ per atom: 16.58
Final energy, eV per atom: -7.963
D(E_F), states/eV/cell: 14.0